Model one:
Computed, not measured: an optimized crystal structure of Na2Cd3Pb2 at the PBE-GGA level of DFT.

Output
The calculation puts the density at 6.5 g/cm³. As for the space group: C2/m, No. 12. The value obtained for the density of states at the Fermi level is 2.74 states/eV per cell.

```
data_Na2Cd3Pb2
_chemical_formula_sum 'Na2 Cd3 Pb2'
_cell_length_a 6.373
_cell_length_b 6.373
_cell_length_c 7.742
_cell_angle_alpha 113.14
_cell_angle_beta 113.14
_cell_angle_gamma 45.36
_symmetry_space_group_name_H-M 'P 1'
_symmetry_Int_Tables_number 1
loop_
_symmetry_equiv_pos_as_xyz
'x,y,z'
loop_
_atom_site_label
_atom_site_fract_x
_atom_site_fract_y
_atom_site_fract_z
Na1 0.143 0.143 0.265
Na2 0.857 0.857 0.735
Cd1 0.409 0.409 0.075
Cd2 0.500 0.500 0.500
Cd3 0.591 0.591 0.925
Pb1 0.150 0.150 0.727
Pb2 0.850 0.850 0.273
```

Model two:
Computed, not measured: an optimized crystal structure of Na2Cd3Pb2 at the PBE-GGA level of DFT.

Output
The calculation puts the density at 7.0 g/cm³. As for the space group: Cmmm, No. 65. The value obtained for the density of states at the Fermi level is 3.02 states/eV per cell.

```
data_Na2Cd3Pb2
_chemical_formula_sum 'Na2 Cd3 Pb2'
_cell_length_a 11.529
_cell_length_b 11.529
_cell_length_c 3.342
_cell_angle_alpha 90.00
_cell_angle_beta 90.00
_cell_angle_gamma 154.86
_symmetry_space_group_name_H-M 'P 1'
_symmetry_Int_Tables_number 1
loop_
_symmetry_equiv_pos_as_xyz
'x,y,z'
loop_
_atom_site_label
_atom_site_fract_x
_atom_site_fract_y
_atom_site_fract_z
Na1 0.142 0.858 0.000
Na2 0.858 0.142 0.000
Cd1 0.000 0.000 0.000
Cd2 0.435 0.565 0.500
Cd3 0.565 0.435 0.500
Pb1 0.294 0.706 0.500
Pb2 0.706 0.294 0.500
```

Most stable structure: model one

Model one:
Computed, not measured: an optimized crystal structure of Na6CdPb at the PBE-GGA level of DFT.

Output
The calculation puts the density at 3.2 g/cm³. As for the space group: Pmm2, No. 25. The value obtained for the density of states at the Fermi level is 4.24 states/eV per cell.

```
data_Na6CdPb
_chemical_formula_sum 'Na6 Cd1 Pb1'
_cell_length_a 5.748
_cell_length_b 6.881
_cell_length_c 6.055
_cell_angle_alpha 90.00
_cell_angle_beta 90.00
_cell_angle_gamma 90.00
_symmetry_space_group_name_H-M 'P 1'
_symmetry_Int_Tables_number 1
loop_
_symmetry_equiv_pos_as_xyz
'x,y,z'
loop_
_atom_site_label
_atom_site_fract_x
_atom_site_fract_y
_atom_site_fract_z
Na1 0.000 0.000 0.000
Na2 0.000 0.249 0.459
Na3 0.000 0.751 0.459
Na4 0.500 0.243 0.804
Na5 0.500 0.500 0.277
Na6 0.500 0.757 0.804
Cd1 0.000 0.500 0.953
Pb1 0.500 0.000 0.310
```

Model two:
Computed, not measured: an optimized crystal structure of Na6CdPb at the PBE-GGA level of DFT.

Output
The calculation puts the density at 3.1 g/cm³. As for the space group: P-1, No. 2. The value obtained for the density of states at the Fermi level is 3.70 states/eV per cell.

```
data_Na6CdPb
_chemical_formula_sum 'Na6 Cd1 Pb1'
_cell_length_a 6.212
_cell_length_b 6.217
_cell_length_c 6.251
_cell_angle_alpha 90.81
_cell_angle_beta 90.82
_cell_angle_gamma 90.57
_symmetry_space_group_name_H-M 'P 1'
_symmetry_Int_Tables_number 1
loop_
_symmetry_equiv_pos_as_xyz
'x,y,z'
loop_
_atom_site_label
_atom_site_fract_x
_atom_site_fract_y
_atom_site_fract_z
Na1 0.001 0.254 0.498
Na2 0.246 0.001 0.000
Na3 0.498 0.500 0.754
Na4 0.502 0.500 0.246
Na5 0.754 0.999 0.000
Na6 0.999 0.746 0.502
Cd1 0.500 0.000 0.500
Pb1 0.000 0.500 0.000
```

Most stable structure: model one

Model one:
Computed, not measured: an optimized crystal structure of Na5Cd3Pb3 at the PBE-GGA level of DFT.

Output
The calculation puts the density at 5.4 g/cm³. As for the space group: P-62m, No. 189. The value obtained for the density of states at the Fermi level is 5.38 states/eV per cell.

```
data_Na5Cd3Pb3
_chemical_formula_sum 'Na5 Cd3 Pb3'
_cell_length_a 10.675
_cell_length_b 10.675
_cell_length_c 3.338
_cell_angle_alpha 90.00
_cell_angle_beta 90.00
_cell_angle_gamma 120.00
_symmetry_space_group_name_H-M 'P 1'
_symmetry_Int_Tables_number 1
loop_
_symmetry_equiv_pos_as_xyz
'x,y,z'
loop_
_atom_site_label
_atom_site_fract_x
_atom_site_fract_y
_atom_site_fract_z
Na1 0.000 0.664 0.000
Na2 0.333 0.667 0.000
Na3 0.336 0.336 0.000
Na4 0.664 0.000 0.000
Na5 0.667 0.333 0.000
Cd1 0.000 0.158 0.000
Cd2 0.158 0.000 0.000
Cd3 0.842 0.842 0.000
Pb1 0.000 0.400 0.500
Pb2 0.400 0.000 0.500
Pb3 0.600 0.600 0.500
```

Model two:
Computed, not measured: an optimized crystal structure of Na5Cd3Pb3 at the PBE-GGA level of DFT.

Output
The calculation puts the density at 5.3 g/cm³. As for the space group: P-62m, No. 189. The value obtained for the density of states at the Fermi level is 6.54 states/eV per cell.

```
data_Na5Cd3Pb3
_chemical_formula_sum 'Na5 Cd3 Pb3'
_cell_length_a 10.745
_cell_length_b 10.745
_cell_length_c 3.366
_cell_angle_alpha 90.00
_cell_angle_beta 90.00
_cell_angle_gamma 120.00
_symmetry_space_group_name_H-M 'P 1'
_symmetry_Int_Tables_number 1
loop_
_symmetry_equiv_pos_as_xyz
'x,y,z'
loop_
_atom_site_label
_atom_site_fract_x
_atom_site_fract_y
_atom_site_fract_z
Na1 0.000 0.694 0.000
Na2 0.306 0.306 0.000
Na3 0.333 0.667 0.000
Na4 0.667 0.333 0.000
Na5 0.694 0.000 0.000
Cd1 0.000 0.157 0.500
Cd2 0.157 0.000 0.500
Cd3 0.843 0.843 0.500
Pb1 0.000 0.396 0.000
Pb2 0.396 0.000 0.000
Pb3 0.604 0.604 0.000
```

Most stable structure: model one

Model one:
Computed, not measured: an optimized crystal structure of Na6CdPb2 at the PBE-GGA level of DFT.

Output
The calculation puts the density at 3.8 g/cm³. As for the space group: P2_1/c, No. 14. The value obtained for the density of states at the Fermi level is 4.93 states/eV per cell.

```
data_Na6CdPb2
_chemical_formula_sum 'Na12 Cd2 Pb4'
_cell_length_a 8.460
_cell_length_b 7.722
_cell_length_c 11.575
_cell_angle_alpha 90.00
_cell_angle_beta 130.48
_cell_angle_gamma 90.00
_symmetry_space_group_name_H-M 'P 1'
_symmetry_Int_Tables_number 1
loop_
_symmetry_equiv_pos_as_xyz
'x,y,z'
loop_
_atom_site_label
_atom_site_fract_x
_atom_site_fract_y
_atom_site_fract_z
Na1 0.031 0.168 0.320
Na2 0.031 0.332 0.820
Na3 0.357 0.106 0.793
Na4 0.357 0.394 0.293
Na5 0.411 0.622 0.849
Na6 0.411 0.878 0.349
Na7 0.589 0.122 0.651
Na8 0.589 0.378 0.151
Na9 0.643 0.606 0.707
Na10 0.643 0.894 0.207
Na11 0.969 0.668 0.180
Na12 0.969 0.832 0.680
Cd1 0.000 0.000 0.000
Cd2 0.000 0.500 0.500
Pb1 0.196 0.678 0.018
Pb2 0.196 0.822 0.518
Pb3 0.804 0.178 0.482
Pb4 0.804 0.322 0.982
```

Model two:
Computed, not measured: an optimized crystal structure of Na6CdPb2 at the PBE-GGA level of DFT.

Output
The calculation puts the density at 3.9 g/cm³. As for the space group: R-3m, No. 166. The value obtained for the density of states at the Fermi level is 4.08 states/eV per cell.

```
data_Na6CdPb2
_chemical_formula_sum 'Na6 Cd1 Pb2'
_cell_length_a 10.907
_cell_length_b 10.907
_cell_length_c 10.907
_cell_angle_alpha 29.61
_cell_angle_beta 29.61
_cell_angle_gamma 29.61
_symmetry_space_group_name_H-M 'P 1'
_symmetry_Int_Tables_number 1
loop_
_symmetry_equiv_pos_as_xyz
'x,y,z'
loop_
_atom_site_label
_atom_site_fract_x
_atom_site_fract_y
_atom_site_fract_z
Na1 0.079 0.079 0.079
Na2 0.202 0.202 0.202
Na3 0.306 0.306 0.306
Na4 0.694 0.694 0.694
Na5 0.798 0.798 0.798
Na6 0.921 0.921 0.921
Cd1 0.500 0.500 0.500
Pb1 0.409 0.409 0.409
Pb2 0.591 0.591 0.591
```

Most stable structure: model two

Model one:
Computed, not measured: an optimized crystal structure of Na3CdPb4 at the PBE-GGA level of DFT.

Output
The calculation puts the density at 7.0 g/cm³. As for the space group: P-1, No. 2. The value obtained for the density of states at the Fermi level is 2.69 states/eV per cell.

```
data_Na3CdPb4
_chemical_formula_sum 'Na3 Cd1 Pb4'
_cell_length_a 3.532
_cell_length_b 5.596
_cell_length_c 12.381
_cell_angle_alpha 94.98
_cell_angle_beta 98.04
_cell_angle_gamma 90.22
_symmetry_space_group_name_H-M 'P 1'
_symmetry_Int_Tables_number 1
loop_
_symmetry_equiv_pos_as_xyz
'x,y,z'
loop_
_atom_site_label
_atom_site_fract_x
_atom_site_fract_y
_atom_site_fract_z
Na1 0.000 0.000 0.000
Na2 0.118 0.350 0.264
Na3 0.882 0.650 0.736
Cd1 0.500 0.500 0.000
Pb1 0.273 0.249 0.539
Pb2 0.409 0.159 0.793
Pb3 0.591 0.841 0.207
Pb4 0.727 0.751 0.461
```

Model two:
Computed, not measured: an optimized crystal structure of Na3CdPb4 at the PBE-GGA level of DFT.

Output
The calculation puts the density at 6.7 g/cm³. As for the space group: Imm2, No. 44. The value obtained for the density of states at the Fermi level is 6.07 states/eV per cell.

```
data_Na3CdPb4
_chemical_formula_sum 'Na3 Cd1 Pb4'
_cell_length_a 7.011
_cell_length_b 7.011
_cell_length_c 7.011
_cell_angle_alpha 122.81
_cell_angle_beta 96.88
_cell_angle_gamma 109.77
_symmetry_space_group_name_H-M 'P 1'
_symmetry_Int_Tables_number 1
loop_
_symmetry_equiv_pos_as_xyz
'x,y,z'
loop_
_atom_site_label
_atom_site_fract_x
_atom_site_fract_y
_atom_site_fract_z
Na1 0.000 0.000 0.000
Na2 0.525 0.218 0.307
Na3 0.911 0.218 0.693
Cd1 0.043 0.543 0.500
Pb1 0.389 0.139 0.750
Pb2 0.389 0.639 0.250
Pb3 0.464 0.655 0.809
Pb4 0.846 0.655 0.191
```

Most stable structure: model one

Model one:
Computed, not measured: an optimized crystal structure of Na7Cd4Pb at the PBE-GGA level of DFT.

Output
The calculation puts the density at 3.8 g/cm³. As for the space group: C2/m, No. 12. The value obtained for the density of states at the Fermi level is 4.25 states/eV per cell.

```
data_Na7Cd4Pb
_chemical_formula_sum 'Na7 Cd4 Pb1'
_cell_length_a 7.968
_cell_length_b 7.968
_cell_length_c 9.436
_cell_angle_alpha 117.02
_cell_angle_beta 117.02
_cell_angle_gamma 43.83
_symmetry_space_group_name_H-M 'P 1'
_symmetry_Int_Tables_number 1
loop_
_symmetry_equiv_pos_as_xyz
'x,y,z'
loop_
_atom_site_label
_atom_site_fract_x
_atom_site_fract_y
_atom_site_fract_z
Na1 0.000 0.000 0.000
Na2 0.250 0.250 0.723
Na3 0.319 0.319 0.132
Na4 0.422 0.422 0.592
Na5 0.578 0.578 0.408
Na6 0.681 0.681 0.868
Na7 0.750 0.750 0.277
Cd1 0.027 0.027 0.677
Cd2 0.183 0.183 0.347
Cd3 0.817 0.817 0.653
Cd4 0.973 0.973 0.323
Pb1 0.500 0.500 0.000
```

Model two:
Computed, not measured: an optimized crystal structure of Na7Cd4Pb at the PBE-GGA level of DFT.

Output
The calculation puts the density at 4.1 g/cm³. As for the space group: C2/m, No. 12. The value obtained for the density of states at the Fermi level is 4.53 states/eV per cell.

```
data_Na7Cd4Pb
_chemical_formula_sum 'Na7 Cd4 Pb1'
_cell_length_a 5.400
_cell_length_b 5.400
_cell_length_c 13.256
_cell_angle_alpha 90.03
_cell_angle_beta 90.03
_cell_angle_gamma 60.01
_symmetry_space_group_name_H-M 'P 1'
_symmetry_Int_Tables_number 1
loop_
_symmetry_equiv_pos_as_xyz
'x,y,z'
loop_
_atom_site_label
_atom_site_fract_x
_atom_site_fract_y
_atom_site_fract_z
Na1 0.000 0.000 0.000
Na2 0.000 0.000 0.255
Na3 0.000 0.000 0.745
Na4 0.333 0.333 0.634
Na5 0.333 0.333 0.909
Na6 0.667 0.667 0.091
Na7 0.667 0.667 0.366
Cd1 0.334 0.334 0.167
Cd2 0.334 0.334 0.394
Cd3 0.666 0.666 0.606
Cd4 0.666 0.666 0.833
Pb1 0.000 0.000 0.500
```

Most stable structure: model two

Model one:
Computed, not measured: an optimized crystal structure of Na2CdPb6 at the PBE-GGA level of DFT.

Output
The calculation puts the density at 8.7 g/cm³. As for the space group: C2/m, No. 12. The value obtained for the density of states at the Fermi level is 4.16 states/eV per cell.

```
data_Na2CdPb6
_chemical_formula_sum 'Na2 Cd1 Pb6'
_cell_length_a 7.543
_cell_length_b 7.543
_cell_length_c 8.046
_cell_angle_alpha 106.26
_cell_angle_beta 106.26
_cell_angle_gamma 37.63
_symmetry_space_group_name_H-M 'P 1'
_symmetry_Int_Tables_number 1
loop_
_symmetry_equiv_pos_as_xyz
'x,y,z'
loop_
_atom_site_label
_atom_site_fract_x
_atom_site_fract_y
_atom_site_fract_z
Na1 0.057 0.057 0.325
Na2 0.943 0.943 0.675
Cd1 0.500 0.500 0.000
Pb1 0.163 0.163 0.997
Pb2 0.274 0.274 0.669
Pb3 0.390 0.390 0.333
Pb4 0.610 0.610 0.667
Pb5 0.726 0.726 0.331
Pb6 0.837 0.837 0.003
```

Model two:
Computed, not measured: an optimized crystal structure of Na2CdPb6 at the PBE-GGA level of DFT.

Output
The calculation puts the density at 8.0 g/cm³. As for the space group: C2/m, No. 12. The value obtained for the density of states at the Fermi level is 4.42 states/eV per cell.

```
data_Na2CdPb6
_chemical_formula_sum 'Na2 Cd1 Pb6'
_cell_length_a 6.891
_cell_length_b 6.891
_cell_length_c 7.116
_cell_angle_alpha 90.59
_cell_angle_beta 90.59
_cell_angle_gamma 59.76
_symmetry_space_group_name_H-M 'P 1'
_symmetry_Int_Tables_number 1
loop_
_symmetry_equiv_pos_as_xyz
'x,y,z'
loop_
_atom_site_label
_atom_site_fract_x
_atom_site_fract_y
_atom_site_fract_z
Na1 0.166 0.166 0.359
Na2 0.834 0.834 0.641
Cd1 0.500 0.500 0.500
Pb1 0.155 0.671 0.181
Pb2 0.327 0.327 0.812
Pb3 0.329 0.845 0.819
Pb4 0.671 0.155 0.181
Pb5 0.673 0.673 0.188
Pb6 0.845 0.329 0.819
```

Most stable structure: model one

Model one:
Computed, not measured: an optimized crystal structure of Na2CdPb4 at the PBE-GGA level of DFT.

Output
The calculation puts the density at 6.3 g/cm³. As for the space group: Cmmm, No. 65. The value obtained for the density of states at the Fermi level is 3.77 states/eV per cell.

```
data_Na2CdPb4
_chemical_formula_sum 'Na2 Cd1 Pb4'
_cell_length_a 7.918
_cell_length_b 7.918
_cell_length_c 5.766
_cell_angle_alpha 90.00
_cell_angle_beta 90.00
_cell_angle_gamma 134.01
_symmetry_space_group_name_H-M 'P 1'
_symmetry_Int_Tables_number 1
loop_
_symmetry_equiv_pos_as_xyz
'x,y,z'
loop_
_atom_site_label
_atom_site_fract_x
_atom_site_fract_y
_atom_site_fract_z
Na1 0.156 0.844 0.000
Na2 0.844 0.156 0.000
Cd1 0.500 0.500 0.500
Pb1 0.289 0.711 0.500
Pb2 0.396 0.604 0.000
Pb3 0.604 0.396 0.000
Pb4 0.711 0.289 0.500
```

Model two:
Computed, not measured: an optimized crystal structure of Na2CdPb4 at the PBE-GGA level of DFT.

Output
The calculation puts the density at 7.9 g/cm³. As for the space group: Fmmm, No. 69. The value obtained for the density of states at the Fermi level is 2.96 states/eV per cell.

```
data_Na2CdPb4
_chemical_formula_sum 'Na2 Cd1 Pb4'
_cell_length_a 7.811
_cell_length_b 6.496
_cell_length_c 6.490
_cell_angle_alpha 73.96
_cell_angle_beta 53.06
_cell_angle_gamma 52.99
_symmetry_space_group_name_H-M 'P 1'
_symmetry_Int_Tables_number 1
loop_
_symmetry_equiv_pos_as_xyz
'x,y,z'
loop_
_atom_site_label
_atom_site_fract_x
_atom_site_fract_y
_atom_site_fract_z
Na1 0.250 0.250 0.250
Na2 0.750 0.750 0.750
Cd1 0.000 0.000 0.000
Pb1 0.286 0.286 0.714
Pb2 0.287 0.713 0.287
Pb3 0.713 0.287 0.713
Pb4 0.714 0.714 0.286
```

Most stable structure: model two